Compound: CaLaCd
Source: Alexandria via LeMat-Bulk
Functional: PBE-GGA
Structure: optimized geometry

Lattice parameters (Å, degrees): 5.635 5.635 7.093 90.00 90.00 120.01
Fractional coordinates of all 6 atoms:
Cd (0.333, 0.167, 0.250)
Cd (0.667, 0.833, 0.750)
Ca (0.000, 0.500, 0.500)
Ca (0.000, 0.500, 0.000)
La (0.333, 0.167, 0.750)
La (0.667, 0.833, 0.250)

Properties
E_form: -0.211 eV per atom
crystal system: hexagonal
ΔE to the lowest computed polymorph: 0 meV/atom
space-group type: P6_3/mmc